<P>
# PBE KSrIr2, optimized geometry
data_KSrIr2
_chemical_formula_sum 'K4 Sr4 Ir8'
_symmetry_space_group_name_H-M 'I -4 2 d'
_symmetry_Int_Tables_number 122
_symmetry_space_group_name_Hall 'I -4 2bw'
_cell_length_a 8.5320
_cell_length_b 8.5320
_cell_length_c 5.2848
_cell_angle_alpha 90.00
_cell_angle_beta 90.00
_cell_angle_gamma 90.00
loop_
_atom_site_label
_atom_site_fract_x
_atom_site_fract_y
_atom_site_fract_z
K1 0.0000 0.0000 0.0000
Sr1 0.0000 0.0000 0.5000
Ir1 0.2470 0.2500 0.6250
# total magnetic moment = 0.00 μB/atom
# DOS(E_F) = 0.668 states/eV per atom

<Q>
# PBE KSrIr2, optimized geometry
data_KSrIr2
_chemical_formula_sum 'K1 Sr1 Ir2'
_symmetry_space_group_name_H-M 'P 4/m m m'
_symmetry_Int_Tables_number 123
_symmetry_space_group_name_Hall '-P 4 2'
_cell_length_a 4.1948
_cell_length_b 4.1948
_cell_length_c 4.8348
_cell_angle_alpha 90.00
_cell_angle_beta 90.00
_cell_angle_gamma 90.00
loop_
_atom_site_label
_atom_site_fract_x
_atom_site_fract_y
_atom_site_fract_z
K1 0.0000 0.0000 0.0000
Sr1 0.5000 0.5000 0.0000
Ir1 0.0000 0.5000 0.5000
# total magnetic moment = 0.14 μB/atom
# DOS(E_F) = 1.493 states/eV per atom

The data favor <Q>; the next most stable structure lies 82 meV/atom above it.

<P>
# PBE KSrIr2, optimized geometry
data_KSrIr2
_chemical_formula_sum 'K4 Sr4 Ir8'
_symmetry_space_group_name_H-M 'F m -3 m'
_symmetry_Int_Tables_number 225
_symmetry_space_group_name_Hall '-F 4 2 3'
_cell_length_a 7.2147
_cell_length_b 7.2147
_cell_length_c 7.2147
_cell_angle_alpha 90.00
_cell_angle_beta 90.00
_cell_angle_gamma 90.00
loop_
_atom_site_label
_atom_site_fract_x
_atom_site_fract_y
_atom_site_fract_z
K1 0.0000 0.0000 0.0000
Sr1 0.0000 0.0000 0.5000
Ir1 0.2500 0.2500 0.2500
# total magnetic moment = 0.00 μB/atom
# DOS(E_F) = 1.329 states/eV per atom

<Q>
# PBE KSrIr2, optimized geometry
data_KSrIr2
_chemical_formula_sum 'K3 Sr3 Ir6'
_symmetry_space_group_name_H-M 'R -3 m'
_symmetry_Int_Tables_number 166
_symmetry_space_group_name_Hall '-R 3 2"'
_cell_length_a 3.0732
_cell_length_b 3.0732
_cell_length_c 30.8575
_cell_angle_alpha 90.00
_cell_angle_beta 90.00
_cell_angle_gamma 120.00
loop_
_atom_site_label
_atom_site_fract_x
_atom_site_fract_y
_atom_site_fract_z
K1 0.0000 0.0000 0.0000
Sr1 0.0000 0.0000 0.5000
Ir1 0.0000 0.0000 0.2455
# total magnetic moment = 0.09 μB/atom
# DOS(E_F) = 0.957 states/eV per atom

<R>
# PBE KSrIr2, optimized geometry
data_KSrIr2
_chemical_formula_sum 'K2 Sr2 Ir4'
_symmetry_space_group_name_H-M 'C 1 m 1'
_symmetry_Int_Tables_number 8
_symmetry_space_group_name_Hall 'C -2y'
_cell_length_a 11.9526
_cell_length_b 2.9377
_cell_length_c 5.7511
_cell_angle_alpha 90.00
_cell_angle_beta 110.45
_cell_angle_gamma 90.00
loop_
_atom_site_label
_atom_site_fract_x
_atom_site_fract_y
_atom_site_fract_z
K1 0.0000 0.0000 0.0000
Sr1 0.3036 0.5000 0.3980
Ir1 0.0683 0.5000 0.5441
Ir2 0.2296 0.0000 0.8431
# total magnetic moment = 0.00 μB/atom
# DOS(E_F) = 0.605 states/eV per atom

The data favor <R>; the next most stable structure lies 334 meV/atom above it.